#1
Material: SbAsIrI2
Method: DFT, PBE-GGA
State: optimized geometry

a b c (Å): 5.446 5.446 5.048
angles (deg): 90.00 90.00 90.00
Positions (direct):
Sb 0.000 0.000 0.500
I 0.000 0.500 0.000
As 0.500 0.500 0.500
I 0.500 0.000 0.000
Ir 0.000 0.000 0.000

Computed properties:
N(E_F)   5.238 states/eV/cell


#2
Material: SbAsIrI2
Method: DFT, PBE-GGA
State: optimized geometry

a b c (Å): 5.441 5.441 5.548
angles (deg): 90.00 90.00 90.00
Positions (direct):
I 0.500 0.000 0.000
Sb 0.000 0.000 0.500
I 0.000 0.500 0.000
Ir 0.500 0.500 0.500
As 0.000 0.000 0.000

Computed properties:
N(E_F)   8.476 states/eV/cell


It comes down to #1, which is 698 meV per atom more stable than the next structure.


#1
Material: TeAsIrI2
Method: DFT, PBE-GGA
State: optimized geometry

a b c (Å): 5.484 5.484 5.609
angles (deg): 90.00 90.00 90.00
Positions (direct):
Te 0.000 0.000 0.500
I 0.500 0.000 0.000
I 0.000 0.500 0.000
Ir 0.500 0.500 0.500
As 0.000 0.000 0.000

Computed properties:
N(E_F)   6.909 states/eV/cell


#2
Material: TeAsIrI2
Method: DFT, PBE-GGA
State: optimized geometry

a b c (Å): 5.399 5.399 5.155
angles (deg): 90.00 90.00 90.00
Positions (direct):
As 0.500 0.500 0.500
I 0.500 0.000 0.000
I 0.000 0.500 0.000
Ir 0.000 0.000 0.000
Te 0.000 0.000 0.500

Computed properties:
N(E_F)   4.019 states/eV/cell


It comes down to #2, which is 649 meV per atom more stable than the next structure.


#1
Material: KAsI4
Method: DFT, PBE-GGA
State: optimized geometry

a b c (Å): 7.538 9.823 9.823
angles (deg): 114.31 95.92 95.92
Positions (direct):
I 0.170 0.356 0.482
I 0.611 0.217 0.594
As 0.250 0.069 0.431
I 0.330 0.018 0.144
K 0.750 0.245 0.255
I 0.389 0.783 0.406
K 0.250 0.755 0.745
As 0.750 0.931 0.569
I 0.830 0.644 0.518
I 0.889 0.906 0.283
I 0.111 0.094 0.717
I 0.670 0.982 0.856

Computed properties:
N(E_F)   0.000 states/eV/cell


#2
Material: KAsI4
Method: DFT, PBE-GGA
State: optimized geometry

a b c (Å): 8.754 7.534 9.743
angles (deg): 105.40 110.19 105.63
Positions (direct):
I 0.367 0.163 0.888
I 0.979 0.275 0.112
I 0.842 0.040 0.610
As 0.082 0.832 0.663
K 0.405 0.655 0.310
I 0.158 0.960 0.390
K 0.595 0.345 0.690
As 0.918 0.168 0.337
I 0.021 0.725 0.888
I 0.633 0.837 0.112
I 0.732 0.429 0.390
I 0.268 0.571 0.610

Computed properties:
N(E_F)   0.000 states/eV/cell


It comes down to #1, which is 10 meV per atom more stable than the next structure.


#1
Material: K2AsI
Method: DFT, PBE-GGA
State: optimized geometry

a b c (Å): 5.974 5.974 5.974
angles (deg): 60.00 60.00 60.00
Positions (direct):
I 0.500 0.500 0.500
K 0.750 0.750 0.750
As 0.000 0.000 0.000
K 0.250 0.250 0.250

Computed properties:
N(E_F)   4.254 states/eV/cell


#2
Material: K2AsI
Method: DFT, PBE-GGA
State: optimized geometry

a b c (Å): 9.315 9.315 7.414
angles (deg): 51.08 51.08 90.00
Positions (direct):
K 0.608 0.125 0.250
I 0.000 0.000 0.000
I 0.750 0.250 0.500
As 0.250 0.750 0.500
K 0.875 0.858 0.750
As 0.500 0.500 0.000
K 0.375 0.392 0.750
K 0.142 0.625 0.250

Computed properties:
N(E_F)   6.375 states/eV/cell


It comes down to #1, which is 49 meV per atom more stable than the next structure.